Record 1
Computed, not measured: a geometry-optimized Y4GaHg2 structure at the PBE-GGA level of DFT.

Space-group type: R-3m (166)
DOS at the Fermi energy (states/eV/cell): 8.93
E_form (eV per atom): -0.3609
Crystal system: trigonal
Total magnetization (μB/f.u.): 0.00

```
7
Lattice="2.577 1.488 8.434 -2.577 1.488 8.434 0.000 -2.975 8.434" Properties=species:S:1:pos:R:3 pbc="T T T"
Y 0.000 0.000 3.150
Y 0.000 0.000 9.498
Y 0.000 0.000 15.803
Y 0.000 0.000 22.151
Ga 0.000 0.000 12.650
Hg 0.000 0.000 6.379
Hg 0.000 0.000 18.922
```

Record 2
Computed, not measured: a geometry-optimized Y2Ga2Hg structure at the PBE-GGA level of DFT.

Space-group type: P4/mbm (127)
DOS at the Fermi energy (states/eV/cell): 5.20
E_form (eV per atom): -0.5939
Crystal system: tetragonal
Total magnetization (μB/f.u.): 0.00

```
10
Lattice="7.143 0.000 0.000 0.000 7.143 0.000 0.000 0.000 4.479" Properties=species:S:1:pos:R:3 pbc="T T T"
Y 1.222 2.350 0.000
Y 2.350 5.921 0.000
Y 4.793 1.222 0.000
Y 5.921 4.793 0.000
Ga 0.920 4.491 2.240
Ga 2.651 0.920 2.240
Ga 4.491 6.223 2.240
Ga 6.223 2.651 2.240
Hg 0.000 0.000 2.240
Hg 3.571 3.571 2.240
```

Record 3
Computed, not measured: a geometry-optimized YGaHg structure at the PBE-GGA level of DFT.

Space-group type: Cm (8)
DOS at the Fermi energy (states/eV/cell): 3.37
E_form (eV per atom): -0.4555
Crystal system: monoclinic
Total magnetization (μB/f.u.): 0.00

```
6
Lattice="5.337 -2.123 0.000 5.337 2.123 0.000 -0.136 0.000 6.110" Properties=species:S:1:pos:R:3 pbc="T T T"
Y 0.000 0.000 0.000
Y 6.656 0.000 2.975
Ga 3.215 0.000 1.398
Ga 7.422 0.000 0.022
Hg 3.085 0.000 4.608
Hg 9.864 0.000 3.007
```

Record 4
Computed, not measured: a geometry-optimized YGaHg2 structure at the PBE-GGA level of DFT.

Space-group type: P2/m (10)
DOS at the Fermi energy (states/eV/cell): 2.37
E_form (eV per atom): -0.2550
Crystal system: monoclinic
Total magnetization (μB/f.u.): 0.00

```
4
Lattice="3.330 0.000 0.000 0.000 4.712 0.000 -0.827 0.000 6.026" Properties=species:S:1:pos:R:3 pbc="T T T"
Y 0.000 0.000 0.000
Ga 1.251 0.000 3.013
Hg 0.770 2.356 4.504
Hg 1.733 2.356 1.522
```

Record 5
Computed, not measured: a geometry-optimized Y4GaHg3 structure at the PBE-GGA level of DFT.

Space-group type: P4/mmm (123)
DOS at the Fermi energy (states/eV/cell): 6.84
E_form (eV per atom): -0.5309
Crystal system: tetragonal
Total magnetization (μB/f.u.): 0.00

```
8
Lattice="3.681 0.000 0.000 0.000 3.681 0.000 0.000 0.000 14.878" Properties=species:S:1:pos:R:3 pbc="T T T"
Y 0.000 0.000 1.746
Y 0.000 0.000 5.537
Y 0.000 0.000 9.340
Y 0.000 0.000 13.132
Ga 1.841 1.841 0.000
Hg 1.841 1.841 3.654
Hg 1.841 1.841 7.439
Hg 1.841 1.841 11.224
```

Record 6
Computed, not measured: a geometry-optimized YGaHg structure at the PBE-GGA level of DFT.

Space-group type: P2/m (10)
DOS at the Fermi energy (states/eV/cell): 3.79
E_form (eV per atom): -0.5058
Crystal system: monoclinic
Total magnetization (μB/f.u.): 0.00

```
6
Lattice="3.602 0.000 0.000 0.000 4.628 0.000 -0.001 0.000 8.142" Properties=species:S:1:pos:R:3 pbc="T T T"
Y 0.000 0.000 0.000
Y 0.000 2.314 4.071
Ga 1.796 0.000 2.781
Ga 1.806 0.000 5.360
Hg 1.803 2.314 1.422
Hg 1.799 2.314 6.720
```

Record 7
Computed, not measured: a geometry-optimized YGaHg structure at the PBE-GGA level of DFT.

Space-group type: P6_3mc (186)
DOS at the Fermi energy (states/eV/cell): 0.73
E_form (eV per atom): -0.5545
Crystal system: hexagonal
Total magnetization (μB/f.u.): 0.00

```
6
Lattice="4.624 0.000 0.000 -2.312 4.005 0.000 0.000 0.000 7.350" Properties=species:S:1:pos:R:3 pbc="T T T"
Y 0.000 0.000 0.000
Y 0.000 0.000 3.675
Ga 0.000 2.670 2.180
Ga 2.312 1.335 5.854
Hg 0.000 2.670 5.235
Hg 2.312 1.335 1.560
```

Record 8
Computed, not measured: a geometry-optimized Y2GaHg structure at the PBE-GGA level of DFT.

Space-group type: I-42d (122)
DOS at the Fermi energy (states/eV/cell): 7.98
E_form (eV per atom): -0.2068
Crystal system: tetragonal
Total magnetization (μB/f.u.): 0.00

```
8
Lattice="-3.964 3.964 3.529 3.964 -3.964 3.529 3.964 3.964 -3.529" Properties=species:S:1:pos:R:3 pbc="T T T"
Y 5.946 1.908 -0.882
Y 1.908 1.982 0.882
Y -1.982 2.056 2.646
Y 2.056 1.982 4.411
Ga 0.000 0.000 0.000
Ga 0.000 3.964 1.764
Hg 3.964 0.000 1.764
Hg 0.000 0.000 3.529
```